Sc8Bi2Sb PBE-GGA relaxed; DOS at the Fermi energy = 1.2508 states/eV/atom; energy relative to the elements, uncorrected = -0.401 eV/atom; E_tot = -0.2237 hartree per atom
1.0
8.771 -2.436 0.000
8.771 2.436 0.000
-0.232 0.000 6.306
Sc Bi Sb
8 2 1
Direct
0.038 0.038 0.241
0.217 0.217 0.145
0.340 0.340 0.597
0.409 0.409 0.057
0.591 0.591 0.943
0.660 0.660 0.403
0.783 0.783 0.855
0.962 0.962 0.759
0.167 0.167 0.681
0.833 0.833 0.319
0.500 0.500 0.500